Entry 1:
{
  "formula": "NaNdHo",
  "functional": "PBE",
  "state": "optimized geometry",
  "lattice_angstrom": [[3.581, 0.000, 0.000], [-1.790, 3.101, 0.000], [0.000, 0.000, 9.235]],
  "species": ["Na", "Nd", "Ho"],
  "fractional_positions": [[0.000, 0.000, 0.000], [0.333, 0.667, 0.646], [0.667, 0.333, 0.344]],
  "delta_e_f_ev_per_atom": 0.1263
}

---

Entry 2:
{
  "formula": "NaNdHo",
  "functional": "PBE",
  "state": "optimized geometry",
  "lattice_angstrom": [[5.665, 0.000, 0.000], [-2.833, 4.906, 0.000], [0.000, 0.000, 7.191]],
  "species": ["Na", "Na", "Nd", "Nd", "Ho", "Ho"],
  "fractional_positions": [[0.333, 0.667, 0.000], [0.667, 0.333, 0.000], [0.000, 0.000, 0.267], [0.000, 0.000, 0.733], [0.333, 0.667, 0.500], [0.667, 0.333, 0.500]],
  "delta_e_f_ev_per_atom": 0.1691
}

---

Entry 3:
{
  "formula": "Na2NdHoO4",
  "functional": "PBE",
  "state": "optimized geometry",
  "lattice_angstrom": [[5.964, 0.000, 0.000], [0.000, 3.500, 0.000], [-2.058, 0.000, 5.708]],
  "species": ["Na", "Na", "Nd", "Ho", "O", "O", "O", "O"],
  "fractional_positions": [[0.000, 0.000, 0.000], [0.000, 0.500, 0.500], [0.500, 0.000, 0.500], [0.500, 0.500, 0.000], [0.285, 0.500, 0.251], [0.288, 0.000, 0.772], [0.712, 0.000, 0.228], [0.715, 0.500, 0.749]],
  "raw_formation_energy_ev_per_atom": -2.70
}

---

Entry 4:
{
  "formula": "NaNdHoPb",
  "functional": "PBE",
  "state": "optimized geometry",
  "lattice_angstrom": [[0.000, 3.868, 3.868], [3.868, 0.000, 3.868], [3.868, 3.868, 0.000]],
  "species": ["Na", "Nd", "Ho", "Pb"],
  "fractional_positions": [[0.000, 0.000, 0.000], [0.750, 0.750, 0.750], [0.250, 0.250, 0.250], [0.500, 0.500, 0.500]],
  "delta_e_f_ev_per_atom": -0.1630
}